Material: MnTcGe2
Method: DFT, PBE
State: optimized geometry

Unit cell a=5.2146 b=5.2146 c=5.2146 alpha=45.57 beta=45.57 gamma=45.57
Closest atoms and distances in Å follow each position.
Atoms (fractional coordinates):
Mn: 0.0000 0.0000 0.0000  6 Ge 2.58-2.78, 1 Tc 2.74
Tc: 0.1960 0.1960 0.1960  6 Ge 2.47-2.64, 1 Mn 2.74
Ge: 0.5876 0.5876 0.5876  3 Tc 2.47, 3 Mn 2.58, 1 Ge 2.62
Ge: 0.7749 0.7749 0.7749  1 Ge 2.62, 3 Tc 2.64, 3 Mn 2.78

Output
Energy above the most stable polymorph in this dataset, meV/atom: 98
ρ, kg/m3: 7514
E_form, meV/atom: 100